a.
SrCoCuS3 | OQMD | PBE | relaxed; spin magnetization = 0.01 Bohr magnetons per cell; space-group type = P2_1/m, No. 11; calculated density = 4.8 g/cm3
1.0
7.1147 0.0000 0.0000
0.0000 3.6840 0.0000
-2.5764 0.0000 8.1146
Co Cu S Sr
2 2 6 2
Direct
0.1652 0.2500 0.1444
0.8348 0.7500 0.8556
0.4144 0.7500 0.4021
0.5856 0.2500 0.5979
0.9632 0.7500 0.1257
0.3729 0.7500 0.1260
0.2333 0.2500 0.4434
0.7667 0.7500 0.5566
0.6271 0.2500 0.8740
0.0368 0.2500 0.8743
0.7287 0.2500 0.2687
0.2713 0.7500 0.7313

***

b.
SrCoCuS3 | OQMD | PBE | relaxed; spin magnetization = 0.00 Bohr magnetons per cell; space-group type = Cmcm, No. 63; calculated density = 4.8 g/cm3
1.0
2.8593 4.6991 3.3920
-5.5787 -2.6805 -1.8592
0.1427 -5.4573 7.4399
Co Cu S Sr
2 2 6 2
Direct
0.0000 0.0000 0.0000
0.0000 0.0000 0.5000
0.4667 0.5333 0.2500
0.5333 0.4667 0.7500
0.3793 0.6207 0.0350
0.0688 0.9312 0.2500
0.3793 0.6207 0.4650
0.6207 0.3793 0.5350
0.9312 0.0688 0.7500
0.6207 0.3793 0.9650
0.7555 0.2445 0.2500
0.2445 0.7555 0.7500

***

The structure with the most favorable energy is a; the runner-up is 71 meV/atom above it.

***

a.
CoCuSbW | OQMD | PBE | relaxed; spin magnetization = 1.15 Bohr magnetons per cell; space-group type = F-43m, No. 216; calculated density = 11.7 g/cm3
1.0
2.6729 -0.9805 3.3691
-0.6566 -3.6833 2.3365
2.8348 -3.3623 -0.3400
Co Cu Sb W
1 1 1 1
Direct
0.5000 0.5000 0.5000
0.7500 0.7500 0.7500
0.0000 0.0000 0.0000
0.2500 0.2500 0.2500

***

b.
CoCuSbW | OQMD | PBE | relaxed; spin magnetization = 0.89 Bohr magnetons per cell; space-group type = F-43m, No. 216; calculated density = 11.9 g/cm3
1.0
1.6144 -2.7441 3.0202
-2.0538 -3.7844 0.8476
1.8094 -3.8028 -1.2341
Co Cu Sb W
1 1 1 1
Direct
0.7500 0.7500 0.7500
0.5000 0.5000 0.5000
0.0000 0.0000 0.0000
0.2500 0.2500 0.2500

***

c.
CoCuSbW | OQMD | PBE | relaxed; spin magnetization = 1.29 Bohr magnetons per cell; space-group type = F-43m, No. 216; calculated density = 12.1 g/cm3
1.0
-1.6792 2.4637 3.1920
-2.2238 3.6288 -0.9822
-4.3236 0.1426 0.6039
Co Cu Sb W
1 1 1 1
Direct
0.7500 0.7500 0.7500
0.2500 0.2500 0.2500
0.0000 0.0000 0.0000
0.5000 0.5000 0.5000

***

The structure with the most favorable energy is b; the runner-up is 10 meV/atom above it.

***

a.
YCoCuSb | OQMD | PBE | relaxed; spin magnetization = 1.20 Bohr magnetons per cell; space-group type = F-43m, No. 216; calculated density = 7.3 g/cm3
1.0
0.0000 3.3586 3.3586
3.3586 0.0000 3.3586
3.3586 3.3586 0.0000
Co Cu Sb Y
1 1 1 1
Direct
0.5000 0.5000 0.5000
0.7500 0.7500 0.7500
0.0000 0.0000 0.0000
0.2500 0.2500 0.2500

***

b.
YCoCuSb | OQMD | PBE | relaxed; spin magnetization = 0.00 Bohr magnetons per cell; space-group type = F-43m, No. 216; calculated density = 8.0 g/cm3
1.0
0.0000 3.2593 3.2593
3.2593 0.0000 3.2593
3.2593 3.2593 0.0000
Co Cu Sb Y
1 1 1 1
Direct
0.7500 0.7500 0.7500
0.2500 0.2500 0.2500
0.0000 0.0000 0.0000
0.5000 0.5000 0.5000

***

c.
YCoCuSb | OQMD | PBE | relaxed; spin magnetization = 0.28 Bohr magnetons per cell; space-group type = F-43m, No. 216; calculated density = 7.7 g/cm3
1.0
0.0000 3.3033 3.3033
3.3033 0.0000 3.3033
3.3033 3.3033 0.0000
Co Cu Sb Y
1 1 1 1
Direct
0.0000 0.0000 0.0000
0.7500 0.7500 0.7500
0.2500 0.2500 0.2500
0.5000 0.5000 0.5000

***

The structure with the most favorable energy is b; the runner-up is 186 meV/atom above it.

***

a.
ScTlCoCu | OQMD | PBE | relaxed; spin magnetization = 1.02 Bohr magnetons per cell; space-group type = F-43m, No. 216; calculated density = 9.3 g/cm3
1.0
0.7654 -4.0190 1.9840
0.8874 -0.2039 4.4548
-3.0775 -1.7495 2.8534
Co Cu Sc Tl
1 1 1 1
Direct
0.7500 0.7500 0.7500
0.5000 0.5000 0.5000
0.2500 0.2500 0.2500
0.0000 0.0000 0.0000

***

b.
ScTlCoCu | OQMD | PBE | relaxed; spin magnetization = 0.66 Bohr magnetons per cell; space-group type = F-43m, No. 216; calculated density = 9.5 g/cm3
1.0
0.0000 3.1890 3.1890
3.1890 0.0000 3.1890
3.1890 3.1890 0.0000
Co Cu Sc Tl
1 1 1 1
Direct
0.7500 0.7500 0.7500
0.2500 0.2500 0.2500
0.5000 0.5000 0.5000
0.0000 0.0000 0.0000

***

c.
ScTlCoCu | OQMD | PBE | relaxed; spin magnetization = 1.34 Bohr magnetons per cell; space-group type = F-43m, No. 216; calculated density = 9.2 g/cm3
1.0
0.0000 3.2297 3.2297
3.2297 0.0000 3.2297
3.2297 3.2297 0.0000
Co Cu Sc Tl
1 1 1 1
Direct
0.5000 0.5000 0.5000
0.7500 0.7500 0.7500
0.2500 0.2500 0.2500
0.0000 0.0000 0.0000

***

The structure with the most favorable energy is b; the runner-up is 134 meV/atom above it.